[1]
HoAlCo PBE optimized geometry; energy = -4.459 eV/atom; theoretical density = 6294 kg/m3
1.0
0.0000 3.2104 3.2104
3.2104 0.0000 3.2104
3.2104 3.2104 0.0000
Al Co Ho
1 1 1
Cartesian
0.0000 0.0000 0.0000 Al
3.2104 3.2104 3.2104 Co
4.8156 4.8156 4.8156 Ho

[2]
HgGe2Au PBE optimized geometry; energy = -2.922 eV/atom; theoretical density = 11122 kg/m3
1.0
0.0000 3.4348 3.4348
3.4348 0.0000 3.4348
3.4348 3.4348 0.0000
Au Ge Hg
1 2 1
Cartesian
1.7174 1.7174 1.7174 Au
0.0000 0.0000 0.0000 Ge
5.1522 5.1522 5.1522 Ge
3.4348 3.4348 3.4348 Hg

[3]
PaHgSb PBE optimized geometry; excess energy over the best structure of this formula in the dataset = 0.000 eV per atom; theoretical density = 9672 kg/m3
1.0
0.0000 3.6217 3.6217
3.6217 0.0000 3.6217
3.6217 3.6217 0.0000
Hg Pa Sb
1 1 1
Cartesian
1.8108 1.8108 1.8108 Hg
0.0000 0.0000 0.0000 Pa
5.4325 5.4325 5.4325 Sb

[4]
KTmCoTe3 PBE optimized geometry; excess energy over the best structure of this formula in the dataset = 0.015 eV per atom; theoretical density = 5915 kg/m3
1.0
4.2969 0.0000 0.0000
0.0000 11.4759 0.0000
0.0000 0.0000 14.7967
Co K Te Tm
4 4 12 4
Cartesian
3.2227 8.6535 3.1514 Co
3.2227 2.9155 4.2470 Co
1.0742 8.5604 10.5497 Co
1.0742 2.8225 11.6453 Co
3.2227 2.6235 0.0423 K
3.2227 8.3615 7.3560 K
1.0742 3.1145 7.4406 K
1.0742 8.8524 14.7544 K
3.2227 6.5887 1.5982 Te
3.2227 10.8564 1.8145 Te
1.0742 2.9433 2.7524 Te
1.0742 8.6812 4.6459 Te
3.2227 5.1184 5.5839 Te
3.2227 0.8507 5.8001 Te
1.0742 10.6252 8.9965 Te
1.0742 6.3575 9.2128 Te
3.2227 2.7947 10.1508 Te
3.2227 8.5327 12.0443 Te
1.0742 0.6196 12.9822 Te
1.0742 4.8873 13.1985 Te
1.0742 5.8593 3.5816 Tm
1.0742 0.1213 3.8167 Tm
3.2227 11.3547 10.9800 Tm
3.2227 5.6167 11.2151 Tm